This record from Alexandria describes Mn2PtBr after structural relaxation. The functional is GGA-PBE.

abc: 3.2140 3.2140 7.2251
angles: 90.00 90.00 90.00
Space group P4/mmm (No. 123)
Unique sites:
Mn 0.0000 0.0000 0.2090 x2
Pt 0.5000 0.5000 0.0000 x1
Br 0.5000 0.5000 0.5000 x1

Values from the calculation:
* raw formation energy: 0.01 eV per atom
* spin magnetization: 9.12 μB/f.u.
* E: -0.2389 Ha/atom
* energy above the lowest structure with this stoichiometry: 118 meV/atom
* density: 8.56 g cm⁻³
* crystal system: tetragonal
* density of states at the Fermi level: 0.60 states/eV/atom

This record from Alexandria describes TbPrZr2 after structural relaxation. The functional is GGA-PBE.

abc: 3.3855 3.3855 33.2081
angles: 90.00 90.00 120.00
Space group R-3m (No. 166, hexagonal axes)
Unique sites:
Tb 0.0000 0.0000 0.0000 x3
Pr 0.0000 0.0000 0.5000 x3
Zr 0.0000 0.0000 0.2512 x6

Values from the calculation:
* spin magnetization: 0.00 μB/f.u.
* E: -0.2367 Ha/atom
* energy above the lowest structure with this stoichiometry: 6 meV/atom
* density: 7.29 g cm⁻³
* crystal system: trigonal
* density of states at the Fermi level: 1.41 states/eV/atom
* E_form: 0.186 eV per atom

This record from Alexandria describes SrTiH3 after structural relaxation. The functional is GGA-PBE.

abc: 3.9315 3.9315 3.9315
angles: 90.00 90.00 90.00
Space group Pm-3m (No. 221)
Unique sites:
Sr 0.0000 0.0000 0.0000 x1
Ti 0.5000 0.5000 0.5000 x1
H 0.0000 0.5000 0.5000 x3

Values from the calculation:
* spin magnetization: 2.17 μB/f.u.
* E: -0.1553 Ha/atom
* energy above the lowest structure with this stoichiometry: 0 meV/atom
* density: 3.78 g cm⁻³
* crystal system: cubic
* density of states at the Fermi level: 0.47 states/eV/atom

This record from Alexandria describes OsRu2Au after structural relaxation. The functional is GGA-PBE.

abc: 7.1130 7.1130 5.3988
angles: 90.00 90.00 90.00
Space group I-42d (No. 122)
Unique sites:
Os 0.0000 0.0000 0.0000 x4
Ru 0.2045 0.2500 0.1250 x8
Au 0.0000 0.0000 0.5000 x4

Values from the calculation:
* spin magnetization: 0.00 μB/f.u.
* E: -0.2744 Ha/atom
* energy above the lowest structure with this stoichiometry: 561 meV/atom
* density: 14.33 g cm⁻³
* crystal system: tetragonal
* density of states at the Fermi level: 0.99 states/eV/atom
* E_form: 0.798 eV per atom

This record from Alexandria describes OsPdCl2 after structural relaxation. The functional is GGA-PBE.

abc: 6.3087 6.3087 6.3087
angles: 90.00 90.00 90.00
Space group Fm-3m (No. 225)
Unique sites:
Os 0.0000 0.0000 0.0000 x4
Pd 0.0000 0.0000 0.5000 x4
Cl 0.2500 0.2500 0.2500 x8

Values from the calculation:
* raw formation energy: 1.10 eV per atom
* spin magnetization: 0.00 μB/f.u.
* E: -0.1444 Ha/atom
* energy above the lowest structure with this stoichiometry: 632 meV/atom
* density: 9.72 g cm⁻³
* crystal system: cubic
* density of states at the Fermi level: 1.30 states/eV/atom

This record from Alexandria describes NbCrTcW after structural relaxation. The functional is GGA-PBE.

abc: 6.2333 6.2333 6.2333
angles: 90.00 90.00 90.00
Space group F-43m (No. 216)
Unique sites:
Nb 0.0000 0.0000 0.0000 x4
Cr 0.2500 0.2500 0.7500 x4
Tc 0.2500 0.2500 0.2500 x4
W 0.0000 0.0000 0.5000 x4

Values from the calculation:
* spin magnetization: 0.00 μB/f.u.
* E: -0.3985 Ha/atom
* density: 11.70 g cm⁻³
* crystal system: cubic
* density of states at the Fermi level: 0.65 states/eV/atom
* E_form: -0.089 eV per atom

This record from Alexandria describes Ba2Ge3Pd4Pb after structural relaxation. The functional is GGA-PBE.

abc: 4.6285 4.6285 10.6396
angles: 90.00 90.00 90.00
Space group P-4m2 (No. 115)
Unique sites:
Ba 0.0000 0.5000 0.2431 x2
Ge 0.0000 0.5000 0.8910 x2
Ge 0.5000 0.5000 0.5000 x1
Pd 0.0000 0.0000 0.0000 x1
Pd 0.0000 0.5000 0.6479 x2
Pd 0.5000 0.5000 0.0000 x1
Pb 0.0000 0.0000 0.5000 x1

Values from the calculation:
* spin magnetization: 0.00 μB/f.u.
* E: -0.1771 Ha/atom
* density: 8.20 g cm⁻³
* crystal system: tetragonal
* density of states at the Fermi level: 0.57 states/eV/atom
* E_form: -0.602 eV per atom

This record from Alexandria describes GdTaOs4 after structural relaxation. The functional is GGA-PBE.

abc: 7.4443 7.4443 7.4443
angles: 90.00 90.00 90.00
Space group F-43m (No. 216)
Unique sites:
Gd 0.0000 0.0000 0.0000 x4
Ta 0.2500 0.2500 0.7500 x4
Os 0.1251 0.1251 0.3749 x16

Values from the calculation:
* spin magnetization: 6.92 μB/f.u.
* E: -0.4350 Ha/atom
* density: 17.70 g cm⁻³
* crystal system: cubic
* density of states at the Fermi level: 0.70 states/eV/atom
* E_form: -0.028 eV per atom

This record from Alexandria describes HoTlAg after structural relaxation. The functional is GGA-PBE.

abc: 4.9369 4.9369 3.3948
angles: 90.00 90.00 120.00
Space group P-6m2 (No. 187)
Unique sites:
Ho 0.0000 0.0000 0.0000 x1
Tl 0.6667 0.3333 0.5000 x1
Ag 0.3333 0.6667 0.5000 x1

Values from the calculation:
* spin magnetization: 0.00 μB/f.u.
* E: -0.1299 Ha/atom
* density: 11.06 g cm⁻³
* crystal system: hexagonal
* density of states at the Fermi level: 0.60 states/eV/atom
* E_form: -0.269 eV per atom

This record from Alexandria describes BIrAu after structural relaxation. The functional is GGA-PBE.

abc: 6.3718 2.9430 4.8773
angles: 90.00 99.33 90.00
Space group Cm (No. 8)
Unique sites:
B 0.0000 0.0000 0.0000 x2
Ir 0.1871 0.5000 0.8625 x2
Au 0.2232 0.0000 0.3882 x2

Values from the calculation:
* spin magnetization: 0.00 μB/f.u.
* E: -0.2234 Ha/atom
* density: 14.72 g cm⁻³
* crystal system: monoclinic
* density of states at the Fermi level: 0.35 states/eV/atom
* E_form: 0.192 eV per atom

This record from Alexandria describes TaTlBr after structural relaxation. The functional is GGA-PBE.

abc: 3.1420 3.1420 15.1464
angles: 90.00 90.00 90.00
Space group I4mm (No. 107)
Unique sites:
Ta 0.0000 0.0000 0.0000 x2
Tl 0.0000 0.0000 0.6579 x2
Br 0.0000 0.0000 0.3942 x2

Values from the calculation:
* raw formation energy: 0.35 eV per atom
* spin magnetization: 0.52 μB/f.u.
* E: -0.1816 Ha/atom
* energy above the lowest structure with this stoichiometry: 221 meV/atom
* density: 10.33 g cm⁻³
* crystal system: tetragonal
* density of states at the Fermi level: 0.94 states/eV/atom

This record from Alexandria describes Li6Mg4In after structural relaxation. The functional is GGA-PBE.

abc: 7.2376 9.3508 13.9821
angles: 90.00 90.00 90.00
Space group Fmm2 (No. 42)
Unique sites:
Li 0.0000 0.2005 0.0000 x8
Li 0.1800 0.0000 0.2156 x8
Li 0.2500 0.2500 0.3460 x8
Mg 0.0000 0.1929 0.6773 x8
Mg 0.2003 0.0000 0.5015 x8
In 0.0000 0.0000 0.8484 x4

Values from the calculation:
* spin magnetization: 0.00 μB/f.u.
* E: -0.0691 Ha/atom
* density: 1.78 g cm⁻³
* crystal system: orthorhombic
* density of states at the Fermi level: 0.33 states/eV/atom
* E_form: -0.007 eV per atom

This record from Alexandria describes Li4LaZn2 after structural relaxation. The functional is GGA-PBE.

abc: 3.9724 17.8658 4.1365
angles: 90.00 90.00 90.00
Space group Cmmm (No. 65)
Unique sites:
Li 0.0000 0.1804 0.0000 x4
Li 0.0000 0.3149 0.5000 x4
La 0.0000 0.5000 0.0000 x2
Zn 0.0000 0.0809 0.5000 x4

Values from the calculation:
* spin magnetization: 0.36 μB/f.u.
* E: -0.0838 Ha/atom
* density: 3.37 g cm⁻³
* crystal system: orthorhombic
* density of states at the Fermi level: 0.73 states/eV/atom
* E_form: -0.118 eV per atom

This record from Alexandria describes U3Tl3CrSe8 after structural relaxation. The functional is GGA-PBE.

abc: 8.0654 8.0654 23.9867
angles: 90.00 90.00 120.00
Space group R-3m (No. 166, hexagonal axes)
Unique sites:
U 0.0000 0.5000 0.0000 x9
Tl 0.0000 0.5000 0.5000 x9
Cr 0.0000 0.0000 0.0000 x3
Se 0.0000 0.0000 0.2633 x6
Se 0.0157 0.5078 0.7316 x18

Values from the calculation:
* raw formation energy: -0.83 eV per atom
* spin magnetization: 11.00 μB/f.u.
* E: -0.2229 Ha/atom
* density: 7.41 g cm⁻³
* crystal system: trigonal
* density of states at the Fermi level: 1.05 states/eV/atom

This record from Alexandria describes CuSi3B after structural relaxation. The functional is GGA-PBE.

abc: 4.1017 4.1017 4.1017
angles: 90.00 90.00 90.00
Space group Pm-3m (No. 221)
Unique sites:
Cu 0.0000 0.0000 0.0000 x1
Si 0.0000 0.5000 0.5000 x3
B 0.5000 0.5000 0.5000 x1

Values from the calculation:
* raw formation energy: 0.75 eV per atom
* spin magnetization: 0.00 μB/f.u.
* E: -0.1713 Ha/atom
* energy above the lowest structure with this stoichiometry: 0 meV/atom
* density: 3.82 g cm⁻³
* crystal system: cubic
* density of states at the Fermi level: 0.43 states/eV/atom

This record from Alexandria describes CeNd2Ag6 after structural relaxation. The functional is GGA-PBE.

abc: 8.4298 8.4298 3.4396
angles: 90.00 90.00 120.00
Space group P6/mmm (No. 191)
Unique sites:
Ce 0.0000 0.0000 0.0000 x1
Nd 0.3333 0.6667 0.0000 x2
Ag 0.0000 0.3333 0.5000 x6

Values from the calculation:
* spin magnetization: 1.64 μB/f.u.
* E: -0.1410 Ha/atom
* density: 8.44 g cm⁻³
* crystal system: hexagonal
* density of states at the Fermi level: 1.45 states/eV/atom
* E_form: -0.218 eV per atom

This record from Alexandria describes BaHgBi2Pt after structural relaxation. The functional is GGA-PBE.

abc: 6.5256 6.5256 5.5143
angles: 90.00 90.00 90.00
Space group P4/mmm (No. 123)
Unique sites:
Ba 0.0000 0.0000 0.0000 x1
Hg 0.5000 0.5000 0.5000 x1
Bi 0.0000 0.5000 0.0000 x2
Pt 0.0000 0.0000 0.5000 x1

Values from the calculation:
* spin magnetization: 0.00 μB/f.u.
* E: -0.0809 Ha/atom
* energy above the lowest structure with this stoichiometry: 1318 meV/atom
* density: 6.72 g cm⁻³
* crystal system: tetragonal
* density of states at the Fermi level: 1.42 states/eV/atom
* E_form: 1.004 eV per atom

This record from Alexandria describes Ac5Pm6Pr2 after structural relaxation. The functional is GGA-PBE.

abc: 12.0278 22.2992 3.8079
angles: 90.00 90.00 90.00
Space group Pbam (No. 55)
Unique sites:
Ac 0.0000 0.0000 0.0000 x2
Ac 0.0984 0.2635 0.0000 x4
Ac 0.1748 0.5456 0.0000 x4
Pm 0.0883 0.4061 0.5000 x4
Pm 0.0998 0.1254 0.5000 x4
Pm 0.1529 0.8530 0.0000 x4
Pr 0.1523 0.7045 0.5000 x4

Values from the calculation:
* spin magnetization: 0.00 μB/f.u.
* E: -0.1617 Ha/atom
* density: 7.44 g cm⁻³
* crystal system: orthorhombic
* density of states at the Fermi level: 1.34 states/eV/atom
* E_form: 0.108 eV per atom

This record from Alexandria describes MgCdGaCu after structural relaxation. The functional is GGA-PBE.

abc: 6.5860 6.5860 6.5860
angles: 90.00 90.00 90.00
Space group F-43m (No. 216)
Unique sites:
Mg 0.0000 0.0000 0.0000 x4
Cd 0.0000 0.0000 0.5000 x4
Ga 0.2500 0.2500 0.2500 x4
Cu 0.2500 0.2500 0.7500 x4

Values from the calculation:
* spin magnetization: 0.00 μB/f.u.
* E: -0.0876 Ha/atom
* density: 6.28 g cm⁻³
* crystal system: cubic
* density of states at the Fermi level: 0.29 states/eV/atom
* E_form: 0.024 eV per atom

This record from Alexandria describes La3Ce3YTe8 after structural relaxation. The functional is GGA-PBE.

abc: 9.0048 9.0048 22.3485
angles: 90.00 90.00 120.00
Space group R-3m (No. 166, hexagonal axes)
Unique sites:
La 0.0000 0.5000 0.0000 x9
Ce 0.0000 0.5000 0.5000 x9
Y 0.0000 0.0000 0.5000 x3
Te 0.0000 0.0000 0.2484 x6
Te 0.0019 0.5009 0.2479 x18

Values from the calculation:
* raw formation energy: -1.48 eV per atom
* spin magnetization: 4.02 μB/f.u.
* E: -0.2118 Ha/atom
* density: 6.18 g cm⁻³
* crystal system: trigonal
* density of states at the Fermi level: 1.69 states/eV/atom